The following is a DFT calculation (PBE) of a geometry-optimized Mg2OsCl structure.

Its volume is 139.8 Å³/cell. For the uncorrected formation energy, the calculation gives 505.2 meV/atom. The energy above the most stable polymorph in this dataset comes out at 805 meV/atom.

It has space group I4/mmm (No. 139), with a = 4.189 Å, b = 4.189 Å, c = 7.968 Å, α = 90.00°, β = 90.00° and γ = 90.00°. The asymmetric unit holds Mg at (0.000, 0.500, 0.250), Os at (0.000, 0.000, 0.000) and Cl at (0.000, 0.000, 0.500).